Arrangement w

A relaxed structure of Sn2BiI, computed with PBE.

Summary:
As for the space group: R3m (160). As for the total magnetization: 0.00 Bohr magnetons per cell.

CIF file:
```
data_Sn2BiI
_cell_length_a 4.5796
_cell_length_b 4.5796
_cell_length_c 24.8141
_cell_angle_alpha 90.00
_cell_angle_beta 90.00
_cell_angle_gamma 120.00
_space_group_name_H-M_alt 'P 1'
_space_group_IT_number 1
loop_
_space_group_symop_operation_xyz
'x,y,z'
loop_
_atom_site_label
_atom_site_fract_x
_atom_site_fract_y
_atom_site_fract_z
Sn1 0.0000 0.0000 0.0000
Sn2 0.0000 0.0000 0.1937
Sn3 0.3333 0.6667 0.6667
Sn4 0.3333 0.6667 0.8603
Sn5 0.6667 0.3333 0.3333
Sn6 0.6667 0.3333 0.5270
Bi1 0.0000 0.0000 0.6014
Bi2 0.3333 0.6667 0.2681
Bi3 0.6667 0.3333 0.9348
I1 0.0000 0.0000 0.7831
I2 0.3333 0.6667 0.4498
I3 0.6667 0.3333 0.1165
```

Arrangement x

A relaxed structure of Sn2BiI, computed with PBE.

Summary:
As for the space group: P4/mmm (123). As for the total magnetization: 0.00 Bohr magnetons per cell.

CIF file:
```
data_Sn2BiI
_cell_length_a 3.9203
_cell_length_b 3.9203
_cell_length_c 8.3502
_cell_angle_alpha 90.00
_cell_angle_beta 90.00
_cell_angle_gamma 90.00
_space_group_name_H-M_alt 'P 1'
_space_group_IT_number 1
loop_
_space_group_symop_operation_xyz
'x,y,z'
loop_
_atom_site_label
_atom_site_fract_x
_atom_site_fract_y
_atom_site_fract_z
Sn1 0.0000 0.0000 0.2255
Sn2 0.0000 0.0000 0.7745
Bi1 0.5000 0.5000 0.0000
I1 0.5000 0.5000 0.5000
```

Arrangement y

A relaxed structure of Sn2BiI, computed with PBE.

Summary:
As for the space group: I-42d (122). As for the total magnetization: 0.00 Bohr magnetons per cell.

CIF file:
```
data_Sn2BiI
_cell_length_a 8.4922
_cell_length_b 8.4922
_cell_length_c 8.2356
_cell_angle_alpha 90.00
_cell_angle_beta 90.00
_cell_angle_gamma 90.00
_space_group_name_H-M_alt 'P 1'
_space_group_IT_number 1
loop_
_space_group_symop_operation_xyz
'x,y,z'
loop_
_atom_site_label
_atom_site_fract_x
_atom_site_fract_y
_atom_site_fract_z
Sn1 0.2276 0.2500 0.1250
Sn2 0.2500 0.7276 0.3750
Sn3 0.2500 0.7724 0.8750
Sn4 0.2724 0.2500 0.6250
Sn5 0.7276 0.7500 0.6250
Sn6 0.7500 0.2276 0.8750
Sn7 0.7500 0.2724 0.3750
Sn8 0.7724 0.7500 0.1250
Bi1 0.0000 0.0000 0.0000
Bi2 0.0000 0.5000 0.2500
Bi3 0.5000 0.0000 0.7500
Bi4 0.5000 0.5000 0.5000
I1 0.0000 0.0000 0.5000
I2 0.0000 0.5000 0.7500
I3 0.5000 0.0000 0.2500
I4 0.5000 0.5000 0.0000
```

Which one sits at the bottom of the stability order? arrangement y does.

Arrangement w

A relaxed structure of SnBiI3, computed with PBE.

Summary:
As for the space group: Pm-3m (221). As for the total magnetization: 2.07 Bohr magnetons per cell.

CIF file:
```
data_SnBiI3
_cell_length_a 6.1123
_cell_length_b 6.1123
_cell_length_c 6.1123
_cell_angle_alpha 90.00
_cell_angle_beta 90.00
_cell_angle_gamma 90.00
_space_group_name_H-M_alt 'P 1'
_space_group_IT_number 1
loop_
_space_group_symop_operation_xyz
'x,y,z'
loop_
_atom_site_label
_atom_site_fract_x
_atom_site_fract_y
_atom_site_fract_z
Sn1 0.0000 0.0000 0.0000
Bi1 0.5000 0.5000 0.5000
I1 0.0000 0.0000 0.5000
I2 0.0000 0.5000 0.0000
I3 0.5000 0.0000 0.0000
```

Arrangement x

A relaxed structure of SnBiI3, computed with PBE.

Summary:
As for the space group: Pm-3m (221). As for the total magnetization: 1.23 Bohr magnetons per cell.

CIF file:
```
data_SnBiI3
_cell_length_a 6.1776
_cell_length_b 6.1776
_cell_length_c 6.1776
_cell_angle_alpha 90.00
_cell_angle_beta 90.00
_cell_angle_gamma 90.00
_space_group_name_H-M_alt 'P 1'
_space_group_IT_number 1
loop_
_space_group_symop_operation_xyz
'x,y,z'
loop_
_atom_site_label
_atom_site_fract_x
_atom_site_fract_y
_atom_site_fract_z
Sn1 0.0000 0.0000 0.0000
Bi1 0.5000 0.5000 0.5000
I1 0.0000 0.5000 0.5000
I2 0.5000 0.0000 0.5000
I3 0.5000 0.5000 0.0000
```

Which one sits at the bottom of the stability order? arrangement x does.

Arrangement w

A relaxed structure of TaBi2I, computed with PBE.

Summary:
As for the space group: Fm-3m (225). As for the total magnetization: 0.00 Bohr magnetons per cell.

CIF file:
```
data_TaBi2I
_cell_length_a 7.5896
_cell_length_b 7.5896
_cell_length_c 7.5896
_cell_angle_alpha 90.00
_cell_angle_beta 90.00
_cell_angle_gamma 90.00
_space_group_name_H-M_alt 'P 1'
_space_group_IT_number 1
loop_
_space_group_symop_operation_xyz
'x,y,z'
loop_
_atom_site_label
_atom_site_fract_x
_atom_site_fract_y
_atom_site_fract_z
Ta1 0.0000 0.0000 0.0000
Ta2 0.0000 0.5000 0.5000
Ta3 0.5000 0.0000 0.5000
Ta4 0.5000 0.5000 0.0000
Bi1 0.2500 0.2500 0.2500
Bi2 0.2500 0.2500 0.7500
Bi3 0.2500 0.7500 0.2500
Bi4 0.2500 0.7500 0.7500
Bi5 0.7500 0.2500 0.2500
Bi6 0.7500 0.2500 0.7500
Bi7 0.7500 0.7500 0.2500
Bi8 0.7500 0.7500 0.7500
I1 0.0000 0.0000 0.5000
I2 0.0000 0.5000 0.0000
I3 0.5000 0.0000 0.0000
I4 0.5000 0.5000 0.5000
```

Arrangement x

A relaxed structure of TaBi2I, computed with PBE.

Summary:
As for the space group: I-42d (122). As for the total magnetization: 0.00 Bohr magnetons per cell.

CIF file:
```
data_TaBi2I
_cell_length_a 7.0621
_cell_length_b 7.0621
_cell_length_c 13.9913
_cell_angle_alpha 90.00
_cell_angle_beta 90.00
_cell_angle_gamma 90.00
_space_group_name_H-M_alt 'P 1'
_space_group_IT_number 1
loop_
_space_group_symop_operation_xyz
'x,y,z'
loop_
_atom_site_label
_atom_site_fract_x
_atom_site_fract_y
_atom_site_fract_z
Ta1 0.0000 0.0000 0.0000
Ta2 0.0000 0.5000 0.2500
Ta3 0.5000 0.0000 0.7500
Ta4 0.5000 0.5000 0.5000
Bi1 0.1573 0.2500 0.1250
Bi2 0.2500 0.6573 0.3750
Bi3 0.2500 0.8427 0.8750
Bi4 0.3427 0.2500 0.6250
Bi5 0.6573 0.7500 0.6250
Bi6 0.7500 0.1573 0.8750
Bi7 0.7500 0.3427 0.3750
Bi8 0.8427 0.7500 0.1250
I1 0.0000 0.0000 0.5000
I2 0.0000 0.5000 0.7500
I3 0.5000 0.0000 0.2500
I4 0.5000 0.5000 0.0000
```

Which one sits at the bottom of the stability order? arrangement w does.

Arrangement w

A relaxed structure of TaBiI, computed with PBE.

Summary:
As for the space group: P1 (1). As for the total magnetization: 0.00 Bohr magnetons per cell.

CIF file:
```
data_TaBiI
_cell_length_a 3.5906
_cell_length_b 5.7498
_cell_length_c 10.2255
_cell_angle_alpha 79.42
_cell_angle_beta 80.34
_cell_angle_gamma 71.83
_space_group_name_H-M_alt 'P 1'
_space_group_IT_number 1
loop_
_space_group_symop_operation_xyz
'x,y,z'
loop_
_atom_site_label
_atom_site_fract_x
_atom_site_fract_y
_atom_site_fract_z
Ta1 0.0000 0.0000 0.0000
Ta2 0.4071 0.3311 0.8509
Bi1 0.6938 0.8205 0.7842
Bi2 0.7081 0.5164 0.0722
I1 0.0244 0.3224 0.6129
I2 0.8837 0.9655 0.2795
```

Arrangement x

A relaxed structure of TaBiI, computed with PBE.

Summary:
As for the space group: P2_1/m (11). As for the total magnetization: 0.00 Bohr magnetons per cell.

CIF file:
```
data_TaBiI
_cell_length_a 5.8230
_cell_length_b 3.6761
_cell_length_c 8.9983
_cell_angle_alpha 90.00
_cell_angle_beta 99.84
_cell_angle_gamma 90.00
_space_group_name_H-M_alt 'P 1'
_space_group_IT_number 1
loop_
_space_group_symop_operation_xyz
'x,y,z'
loop_
_atom_site_label
_atom_site_fract_x
_atom_site_fract_y
_atom_site_fract_z
Ta1 0.1448 0.2500 0.0959
Ta2 0.8552 0.7500 0.9041
Bi1 0.3333 0.7500 0.8691
Bi2 0.6667 0.2500 0.1309
I1 0.2094 0.7500 0.3483
I2 0.7906 0.2500 0.6517
```

Arrangement y

A relaxed structure of TaBiI, computed with PBE.

Summary:
As for the space group: P1 (1). As for the total magnetization: 0.00 Bohr magnetons per cell.

CIF file:
```
data_TaBiI
_cell_length_a 3.5224
_cell_length_b 5.9058
_cell_length_c 9.8371
_cell_angle_alpha 102.75
_cell_angle_beta 100.23
_cell_angle_gamma 90.13
_space_group_name_H-M_alt 'P 1'
_space_group_IT_number 1
loop_
_space_group_symop_operation_xyz
'x,y,z'
loop_
_atom_site_label
_atom_site_fract_x
_atom_site_fract_y
_atom_site_fract_z
Ta1 0.0000 0.0000 0.0000
Ta2 0.4142 0.6940 0.8295
Bi1 0.3897 0.1596 0.7774
Bi2 0.5414 0.4734 0.0727
I1 0.1429 0.9987 0.2837
I2 0.7942 0.6069 0.5880
```

Arrangement z

A relaxed structure of TaBiI, computed with PBE.

Summary:
As for the space group: P1 (1). As for the total magnetization: 0.00 Bohr magnetons per cell.

CIF file:
```
data_TaBiI
_cell_length_a 3.4385
_cell_length_b 7.2593
_cell_length_c 8.4986
_cell_angle_alpha 84.29
_cell_angle_beta 89.64
_cell_angle_gamma 89.86
_space_group_name_H-M_alt 'P 1'
_space_group_IT_number 1
loop_
_space_group_symop_operation_xyz
'x,y,z'
loop_
_atom_site_label
_atom_site_fract_x
_atom_site_fract_y
_atom_site_fract_z
Ta1 0.0000 0.0000 0.0000
Ta2 0.4974 0.8364 0.2309
Bi1 0.4938 0.2339 0.2045
Bi2 0.5012 0.6540 0.9495
I1 0.5034 0.1565 0.7486
I2 0.9945 0.6849 0.4730
```

Which one sits at the bottom of the stability order? arrangement z does.

Arrangement w

A relaxed structure of TaBiI, computed with PBE.

Summary:
As for the space group: P2_1/m (11). As for the total magnetization: 0.00 Bohr magnetons per cell.

CIF file:
```
data_TaBiI
_cell_length_a 6.7150
_cell_length_b 3.4105
_cell_length_c 7.9780
_cell_angle_alpha 90.00
_cell_angle_beta 95.71
_cell_angle_gamma 90.00
_space_group_name_H-M_alt 'P 1'
_space_group_IT_number 1
loop_
_space_group_symop_operation_xyz
'x,y,z'
loop_
_atom_site_label
_atom_site_fract_x
_atom_site_fract_y
_atom_site_fract_z
Ta1 0.1787 0.2500 0.0026
Ta2 0.8213 0.7500 0.9974
Bi1 0.1070 0.7500 0.3041
Bi2 0.8930 0.2500 0.6959
I1 0.4092 0.7500 0.8054
I2 0.5908 0.2500 0.1946
```

Arrangement x

A relaxed structure of TaBiI, computed with PBE.

Summary:
As for the space group: P1 (1). As for the total magnetization: 0.00 Bohr magnetons per cell.

CIF file:
```
data_TaBiI
_cell_length_a 3.4816
_cell_length_b 8.3760
_cell_length_c 8.7201
_cell_angle_alpha 116.16
_cell_angle_beta 92.30
_cell_angle_gamma 101.34
_space_group_name_H-M_alt 'P 1'
_space_group_IT_number 1
loop_
_space_group_symop_operation_xyz
'x,y,z'
loop_
_atom_site_label
_atom_site_fract_x
_atom_site_fract_y
_atom_site_fract_z
Ta1 0.0000 0.0000 0.0000
Ta2 0.4019 0.8628 0.7255
Bi1 0.0482 0.1336 0.6807
Bi2 0.6271 0.3132 0.0408
I1 0.4602 0.8807 0.1860
I2 0.7440 0.5607 0.5460
```

Arrangement y

A relaxed structure of TaBiI, computed with PBE.

Summary:
As for the space group: P1 (1). As for the total magnetization: 0.00 Bohr magnetons per cell.

CIF file:
```
data_TaBiI
_cell_length_a 3.5164
_cell_length_b 7.1615
_cell_length_c 8.5568
_cell_angle_alpha 101.06
_cell_angle_beta 90.37
_cell_angle_gamma 90.00
_space_group_name_H-M_alt 'P 1'
_space_group_IT_number 1
loop_
_space_group_symop_operation_xyz
'x,y,z'
loop_
_atom_site_label
_atom_site_fract_x
_atom_site_fract_y
_atom_site_fract_z
Ta1 0.0000 0.0000 0.0000
Ta2 0.4981 0.7105 0.8796
Bi1 0.4953 0.0327 0.7092
Bi2 0.5003 0.3486 0.0100
I1 0.5034 0.8784 0.2229
I2 0.9942 0.5490 0.6266
```

Which one sits at the bottom of the stability order? arrangement x does.

Arrangement w

A relaxed structure of TaBiI, computed with PBE.

Summary:
As for the space group: C2/m (12). As for the total magnetization: 0.00 Bohr magnetons per cell.

CIF file:
```
data_TaBiI
_cell_length_a 17.1841
_cell_length_b 3.3787
_cell_length_c 6.7499
_cell_angle_alpha 90.00
_cell_angle_beta 112.98
_cell_angle_gamma 90.00
_space_group_name_H-M_alt 'P 1'
_space_group_IT_number 1
loop_
_space_group_symop_operation_xyz
'x,y,z'
loop_
_atom_site_label
_atom_site_fract_x
_atom_site_fract_y
_atom_site_fract_z
Ta1 0.2453 0.0000 0.1750
Ta2 0.2547 0.5000 0.8250
Ta3 0.7453 0.5000 0.1750
Ta4 0.7547 0.0000 0.8250
Bi1 0.0961 0.5000 0.9109
Bi2 0.4039 0.0000 0.0891
Bi3 0.5961 0.0000 0.9109
Bi4 0.9039 0.5000 0.0891
I1 0.1532 0.0000 0.4767
I2 0.3468 0.5000 0.5233
I3 0.6532 0.5000 0.4767
I4 0.8468 0.0000 0.5233
```

Arrangement x

A relaxed structure of TaBiI, computed with PBE.

Summary:
As for the space group: C2/m (12). As for the total magnetization: 0.00 Bohr magnetons per cell.

CIF file:
```
data_TaBiI
_cell_length_a 11.2478
_cell_length_b 3.5369
_cell_length_c 10.1708
_cell_angle_alpha 90.00
_cell_angle_beta 109.27
_cell_angle_gamma 90.00
_space_group_name_H-M_alt 'P 1'
_space_group_IT_number 1
loop_
_space_group_symop_operation_xyz
'x,y,z'
loop_
_atom_site_label
_atom_site_fract_x
_atom_site_fract_y
_atom_site_fract_z
Ta1 0.2067 0.0000 0.0829
Ta2 0.2933 0.5000 0.9171
Ta3 0.7067 0.5000 0.0829
Ta4 0.7933 0.0000 0.9171
Bi1 0.0160 0.5000 0.8537
Bi2 0.4840 0.0000 0.1463
Bi3 0.5160 0.0000 0.8537
Bi4 0.9840 0.5000 0.1463
I1 0.1896 0.0000 0.6732
I2 0.3104 0.5000 0.3268
I3 0.6896 0.5000 0.6732
I4 0.8104 0.0000 0.3268
```

Which one sits at the bottom of the stability order? arrangement w does.